No. 1
Computed, not measured: an optimized crystal structure of InPd2Pt6 at the PBE level of DFT.

Cell and atoms, written as CIF:
```
data_InPd2Pt6
_space_group_name_H-M_alt 'P 1'
_space_group_IT_number 1
_cell_length_a 7.268
_cell_length_b 4.805
_cell_length_c 4.805
_cell_angle_alpha 69.19
_cell_angle_beta 77.39
_cell_angle_gamma 77.39
loop_
_space_group_symop_operation_xyz
'x,y,z'
loop_
_atom_site_label
_atom_site_type_symbol
_atom_site_fract_x
_atom_site_fract_y
_atom_site_fract_z
_atom_site_occupancy
In1 In 0.000 0.000 0.000 1
Pd1 Pd 0.927 0.673 0.673 1
Pd2 Pd 0.073 0.327 0.327 1
Pt1 Pt 0.298 0.302 0.788 1
Pt2 Pt 0.505 0.752 0.752 1
Pt3 Pt 0.298 0.788 0.302 1
Pt4 Pt 0.702 0.698 0.212 1
Pt5 Pt 0.495 0.248 0.248 1
Pt6 Pt 0.702 0.212 0.698 1
```

Summary:
- Energy of formation: -0.090 eV per atom
- N(E_F): 12.81 states/eV/cell
- Total moment: 0.00 Bohr magnetons per cell
- Crystal system: monoclinic


No. 2
Computed, not measured: an optimized crystal structure of In4Pd5Pt4 at the PBE level of DFT.

Cell and atoms, written as CIF:
```
data_In4Pd5Pt4
_space_group_name_H-M_alt 'P 1'
_space_group_IT_number 1
_cell_length_a 4.130
_cell_length_b 7.580
_cell_length_c 7.580
_cell_angle_alpha 85.74
_cell_angle_beta 74.19
_cell_angle_gamma 74.19
loop_
_space_group_symop_operation_xyz
'x,y,z'
loop_
_atom_site_label
_atom_site_type_symbol
_atom_site_fract_x
_atom_site_fract_y
_atom_site_fract_z
_atom_site_occupancy
In1 In 0.770 0.363 0.097 1
In2 In 0.230 0.637 0.903 1
In3 In 0.867 0.903 0.363 1
In4 In 0.133 0.097 0.637 1
Pd1 Pd 0.693 0.865 0.750 1
Pd2 Pd 0.307 0.135 0.250 1
Pd3 Pd 0.000 0.000 0.000 1
Pd4 Pd 0.557 0.750 0.135 1
Pd5 Pd 0.443 0.250 0.865 1
Pt1 Pt 0.914 0.477 0.694 1
Pt2 Pt 0.609 0.306 0.477 1
Pt3 Pt 0.086 0.523 0.306 1
Pt4 Pt 0.391 0.694 0.523 1
```

Summary:
- Energy of formation: -0.417 eV per atom
- N(E_F): 5.73 states/eV/cell
- Total moment: 0.00 Bohr magnetons per cell
- Crystal system: tetragonal


No. 3
Computed, not measured: an optimized crystal structure of In4Pd7Pt at the PBE level of DFT.

Cell and atoms, written as CIF:
```
data_In4Pd7Pt
_space_group_name_H-M_alt 'P 1'
_space_group_IT_number 1
_cell_length_a 4.971
_cell_length_b 8.636
_cell_length_c 6.057
_cell_angle_alpha 79.35
_cell_angle_beta 65.78
_cell_angle_gamma 73.27
loop_
_space_group_symop_operation_xyz
'x,y,z'
loop_
_atom_site_label
_atom_site_type_symbol
_atom_site_fract_x
_atom_site_fract_y
_atom_site_fract_z
_atom_site_occupancy
In1 In 0.587 0.224 0.601 1
In2 In 0.413 0.776 0.399 1
In3 In 0.746 0.674 0.834 1
In4 In 0.254 0.326 0.166 1
Pd1 Pd 0.797 0.915 0.490 1
Pd2 Pd 0.203 0.085 0.510 1
Pd3 Pd 0.076 0.671 0.177 1
Pd4 Pd 0.924 0.329 0.823 1
Pd5 Pd 0.362 0.527 0.748 1
Pd6 Pd 0.500 0.000 0.000 1
Pd7 Pd 0.638 0.473 0.252 1
Pt1 Pt 0.000 0.000 0.000 1
```

Summary:
- Energy of formation: -0.210 eV per atom
- N(E_F): 9.31 states/eV/cell
- Total moment: 0.00 Bohr magnetons per cell
- Crystal system: monoclinic